(1)
{"formula": "ZrBe", "functional": "PBE", "state": "relaxed", "sg": "Pmmn (59)", "crystal_system": "orthorhombic", "vol_a3_per_atom": 16.07, "e_tot_ry_per_atom": -0.445, "cell": [[4.749, 0.000, 0.000], [0.000, 5.909, 0.000], [0.000, 0.000, 9.164]], "species": ["Zr", "Zr", "Zr", "Zr", "Zr", "Zr", "Zr", "Zr", "Be", "Be", "Be", "Be", "Be", "Be", "Be", "Be"], "fractional_positions": [[0.250, 0.002, 0.102], [0.250, 0.250, 0.402], [0.250, 0.250, 0.774], [0.250, 0.498, 0.102], [0.750, 0.502, 0.898], [0.750, 0.750, 0.226], [0.750, 0.750, 0.598], [0.750, 0.998, 0.898], [0.250, 0.573, 0.599], [0.250, 0.750, 0.384], [0.250, 0.750, 0.813], [0.250, 0.927, 0.599], [0.750, 0.073, 0.401], [0.750, 0.250, 0.187], [0.750, 0.250, 0.616], [0.750, 0.427, 0.401]]}



(2)
{"formula": "TbDy2Si4Pd4", "functional": "PBE", "state": "relaxed", "sg": "Immm (71)", "crystal_system": "orthorhombic", "vol_a3_per_atom": 17.92, "e_tot_ry_per_atom": -0.446, "cell": [[-2.065, 3.483, 6.851], [2.065, -3.483, 6.851], [2.065, 3.483, -6.851]], "species": ["Tb", "Dy", "Dy", "Si", "Si", "Si", "Si", "Pd", "Pd", "Pd", "Pd"], "fractional_positions": [[0.000, 0.000, 0.000], [0.375, 0.875, 0.500], [0.625, 0.125, 0.500], [0.219, 0.219, 0.000], [0.318, 0.500, 0.818], [0.682, 0.500, 0.182], [0.781, 0.781, 0.000], [0.026, 0.325, 0.701], [0.377, 0.675, 0.701], [0.623, 0.325, 0.299], [0.974, 0.675, 0.299]]}



(3)
{"formula": "YEr", "functional": "PBE", "state": "relaxed", "sg": "P-6m2 (187)", "ef_ev_per_atom": 0.00, "crystal_system": "hexagonal", "relative_energy_kj_per_mol_atoms": 0.00, "vol_a3_per_atom": 31.84, "e_tot_ry_per_atom": -0.405, "cell": [[3.611, 0.000, 0.000], [-1.806, 3.128, 0.000], [0.000, 0.000, 5.639]], "species": ["Y", "Er"], "fractional_positions": [[0.000, 0.000, 0.000], [0.333, 0.667, 0.500]]}



(4)
{"formula": "HoErNi4", "functional": "PBE", "state": "relaxed", "sg": "F-43m (216)", "ef_ev_per_atom": -0.47, "crystal_system": "cubic", "relative_energy_kj_per_mol_atoms": 0.00, "vol_a3_per_atom": 14.94, "e_tot_ry_per_atom": -0.420, "cell": [[0.000, 3.552, 3.552], [3.552, 0.000, 3.552], [3.552, 3.552, 0.000]], "species": ["Ho", "Er", "Ni", "Ni", "Ni", "Ni"], "fractional_positions": [[0.000, 0.000, 0.000], [0.250, 0.250, 0.250], [0.125, 0.625, 0.625], [0.625, 0.125, 0.625], [0.625, 0.625, 0.125], [0.625, 0.625, 0.625]]}



(5)
{"formula": "TbNdCu2Sb4", "functional": "PBE", "state": "relaxed", "sg": "P4mm (99)", "crystal_system": "tetragonal", "vol_a3_per_atom": 23.37, "e_tot_ry_per_atom": -0.354, "cell": [[4.334, 0.000, 0.000], [0.000, 4.334, 0.000], [0.000, 0.000, 9.956]], "species": ["Tb", "Nd", "Cu", "Cu", "Sb", "Sb", "Sb", "Sb"], "fractional_positions": [[0.000, 0.000, 0.000], [0.500, 0.500, 0.499], [0.000, 0.500, 0.244], [0.500, 0.000, 0.244], [0.000, 0.000, 0.402], [0.000, 0.500, 0.754], [0.500, 0.000, 0.754], [0.500, 0.500, 0.088]]}



(6)
{"formula": "TaGaNiPd", "functional": "PBE", "state": "relaxed", "sg": "F-43m (216)", "crystal_system": "cubic", "relative_energy_kj_per_mol_atoms": 0.00, "vol_a3_per_atom": 14.73, "e_tot_ry_per_atom": -0.494, "cell": [[0.000, 3.088, 3.088], [3.088, 0.000, 3.088], [3.088, 3.088, 0.000]], "species": ["Ta", "Ga", "Ni", "Pd"], "fractional_positions": [[0.000, 0.000, 0.000], [0.500, 0.500, 0.500], [0.750, 0.750, 0.750], [0.250, 0.250, 0.250]]}



(7)
{"formula": "Sc3TcOs5", "functional": "PBE", "state": "relaxed", "sg": "P-62m (189)", "ef_ev_per_atom": -0.19, "crystal_system": "hexagonal", "vol_a3_per_atom": 17.15, "e_tot_ry_per_atom": -0.712, "cell": [[6.564, 0.000, 0.000], [-3.282, 5.684, 0.000], [0.000, 0.000, 4.136]], "species": ["Sc", "Sc", "Sc", "Tc", "Os", "Os", "Os", "Os", "Os"], "fractional_positions": [[0.000, 0.578, 0.000], [0.422, 0.422, 0.000], [0.578, 0.000, 0.000], [0.000, 0.000, 0.000], [0.000, 0.251, 0.500], [0.251, 0.000, 0.500], [0.333, 0.667, 0.500], [0.667, 0.333, 0.500], [0.749, 0.749, 0.500]]}



(8)
{"formula": "LiZrGaPt", "functional": "PBE", "state": "relaxed", "sg": "F-43m (216)", "crystal_system": "cubic", "relative_energy_kj_per_mol_atoms": 0.00, "vol_a3_per_atom": 15.93, "e_tot_ry_per_atom": -0.421, "cell": [[0.000, 3.170, 3.170], [3.170, 0.000, 3.170], [3.170, 3.170, 0.000]], "species": ["Li", "Zr", "Ga", "Pt"], "fractional_positions": [[0.000, 0.000, 0.000], [0.250, 0.250, 0.250], [0.750, 0.750, 0.750], [0.500, 0.500, 0.500]]}



(9)
{"formula": "InNi", "functional": "PBE", "state": "relaxed", "sg": "P6_3mc (186)", "crystal_system": "hexagonal", "vol_a3_per_atom": 21.53, "e_tot_ry_per_atom": -0.281, "cell": [[4.430, 0.000, 0.000], [-2.215, 3.837, 0.000], [0.000, 0.000, 5.067]], "species": ["In", "In", "Ni", "Ni"], "fractional_positions": [[0.333, 0.667, 0.000], [0.667, 0.333, 0.500], [0.333, 0.667, 0.498], [0.667, 0.333, 0.998]]}



(10)
{"formula": "BiB4Pt", "functional": "PBE", "state": "relaxed", "sg": "Immm (71)", "crystal_system": "orthorhombic", "relative_energy_kj_per_mol_atoms": 5.15, "vol_a3_per_atom": 11.83, "e_tot_ry_per_atom": -0.404, "cell": [[-1.466, 2.739, 4.418], [1.466, -2.739, 4.418], [1.466, 2.739, -4.418]], "species": ["Bi", "B", "B", "B", "B", "Pt"], "fractional_positions": [[0.000, 0.000, 0.000], [0.110, 0.764, 0.345], [0.419, 0.764, 0.655], [0.581, 0.236, 0.345], [0.890, 0.236, 0.655], [0.500, 0.500, 0.000]]}



(11)
{"formula": "HoTmCd2Ag4", "functional": "PBE", "state": "relaxed", "sg": "P4/mmm (123)", "ef_ev_per_atom": -0.29, "crystal_system": "tetragonal", "vol_a3_per_atom": 20.98, "e_tot_ry_per_atom": -0.225, "cell": [[4.915, 0.000, 0.000], [0.000, 4.915, 0.000], [0.000, 0.000, 6.949]], "species": ["Ho", "Tm", "Cd", "Cd", "Ag", "Ag", "Ag", "Ag"], "fractional_positions": [[0.000, 0.000, 0.000], [0.500, 0.500, 0.500], [0.000, 0.000, 0.500], [0.500, 0.500, 0.000], [0.000, 0.500, 0.251], [0.000, 0.500, 0.749], [0.500, 0.000, 0.251], [0.500, 0.000, 0.749]]}



(12)
{"formula": "Hf3Zn2Pd", "functional": "PBE", "state": "relaxed", "sg": "P4mm (99)", "ef_ev_per_atom": -0.36, "crystal_system": "tetragonal", "vol_a3_per_atom": 18.26, "e_tot_ry_per_atom": -0.487, "cell": [[3.338, 0.000, 0.000], [0.000, 3.338, 0.000], [0.000, 0.000, 9.836]], "species": ["Hf", "Hf", "Hf", "Zn", "Zn", "Pd"], "fractional_positions": [[0.000, 0.000, 0.000], [0.000, 0.000, 0.338], [0.500, 0.500, 0.801], [0.000, 0.000, 0.633], [0.500, 0.500, 0.171], [0.500, 0.500, 0.493]]}